1.
Here is a relaxed structure of Te2NF from Alexandria. Energies are from GGA-PBE.

Properties
The calculation puts the relative energy among the computed polymorphs at 0.178 eV per atom.

Geometry as extended XYZ:
```
4
Lattice="2.5977 -6.4510 4.1639 1.4797 -7.8385 1.4389 4.4825 -6.5820 1.5123" Properties=species:S:1:pos:R:3 pbc="T T T"
Te 0.8300 -2.0238 0.6899
Te 7.7299 -18.8477 6.4252
F 0.0000 0.0000 0.0000
N 4.2799 -10.4357 3.5575
```

=====

2.
Here is a relaxed structure of TeNF2 from Alexandria. Energies are from GGA-PBE.

Properties
The calculation puts the relative energy among the computed polymorphs at 0.297 eV per atom.

Geometry as extended XYZ:
```
4
Lattice="1.8503 0.0000 7.5804 -0.9252 1.6024 7.5804 -0.9252 -1.6024 7.5804" Properties=species:S:1:pos:R:3 pbc="T T T"
F 0.0000 0.0000 1.7699
F 0.0000 0.0000 20.9713
Te 0.0000 0.0000 11.3706
N 0.0000 0.0000 0.0000
```

=====

3.
Here is a relaxed structure of TeN3F from Alexandria. Energies are from GGA-PBE.

Geometry as extended XYZ:
```
5
Lattice="3.9926 0.0000 0.0000 0.0000 3.9926 0.0000 0.0000 0.0000 3.9926" Properties=species:S:1:pos:R:3 pbc="T T T"
F 1.9963 1.9963 1.9963
N 1.9963 0.0000 0.0000
N 0.0000 1.9963 0.0000
N 0.0000 0.0000 1.9963
Te 0.0000 0.0000 0.0000
```

=====

4.
Here is a relaxed structure of TeN2F from Alexandria. Energies are from GGA-PBE.

Properties
The calculation puts the relative energy among the computed polymorphs at 0.000 eV per atom.

Geometry as extended XYZ:
```
8
Lattice="-4.4015 -4.8289 -1.9814 4.2980 -1.8825 -4.9600 0.9194 -4.8132 -2.0760" Properties=species:S:1:pos:R:3 pbc="T T T"
N 2.8121 -2.4939 -3.6658
N -2.4301 -4.9462 -2.5782
N 0.2150 -5.9358 -3.6572
N 1.0347 -9.6732 -8.1335
Te 0.0000 0.0000 0.0000
Te -1.7670 -6.4989 -3.7640
F -0.0518 -3.3557 -3.4707
F 2.5828 -5.0257 -5.2533
```

=====

| no. | formation energy from raw total energies (eV per atom) |
| --- | --- |
| 1 | 0.24 |
| 2 | 0.59 |
| 3 | 2.00 |
| 4 | 0.92 |